(1)
VASP calculation (PBE-GGA) on crystalline LaAs2Ru at its relaxed geometry.

Results
**Space-group type**: F-43m, No. 216
**Crystal system**: cubic
**Relative energy among the computed polymorphs**: 3.23 eV per formula unit
**Energy relative to the elements**: -101 meV per atom

```
LaAs2Ru
1.0
4.8594 0.0000 0.0000
2.4297 4.2083 0.0000
2.4297 1.4028 3.9677
La As Ru
1 2 1
Direct
0.5000 0.5000 0.5000
0.2500 0.2500 0.2500
0.0000 0.0000 0.0000
0.7500 0.7500 0.7500
```

=====

(2)
VASP calculation (PBE-GGA) on crystalline LiPu4S5 at its relaxed geometry.

Results
**Space-group type**: I4/mmm, No. 139
**Crystal system**: tetragonal
**Energy relative to the elements, uncorrected**: -1.652 eV per atom

```
LiPu4S5
1.0
3.8945 0.0000 -0.5489
-0.0774 3.8938 -0.5489
0.0146 0.0149 14.1954
Pu S Li
4 5 1
Direct
0.4042 0.4042 0.8085
0.5958 0.5958 0.1915
0.8000 0.8000 0.6000
0.2000 0.2000 0.4000
0.0979 0.0979 0.1957
0.9021 0.9021 0.8043
0.5000 0.5000 0.0000
0.3004 0.3004 0.6009
0.6996 0.6996 0.3991
0.0000 0.0000 0.0000
```

=====

(3)
VASP calculation (PBE-GGA) on crystalline ZrF at its relaxed geometry.

Results
**Space-group type**: I-43m, No. 217
**Crystal system**: cubic
**Relative energy among the computed polymorphs**: 2.41 eV per formula unit
**Energy relative to the elements, uncorrected**: -1.053 eV per atom

```
ZrF
1.0
7.1741 0.0000 0.0000
0.0000 7.1741 0.0000
0.0000 0.0000 7.1741
Zr F
8 8
Direct
0.1467 0.1467 0.8533
0.6467 0.6467 0.3533
0.8533 0.1467 0.1467
0.6467 0.3533 0.6467
0.3533 0.3533 0.3533
0.8533 0.8533 0.8533
0.1467 0.8533 0.1467
0.3533 0.6467 0.6467
0.1720 0.8280 0.8280
0.6720 0.6720 0.6720
0.8280 0.8280 0.1720
0.1720 0.1720 0.1720
0.6720 0.3280 0.3280
0.3280 0.6720 0.3280
0.3280 0.3280 0.6720
0.8280 0.1720 0.8280
```